VASP calculation (PBE+U) on a relaxed Rb3CrF6 crystal.

Values from the calculation:
Energy: -49.40 eV per cell
Crystal system: monoclinic
Space group: C2/m, No. 12

Structure (POSCAR):
```
Rb3CrF6
1.0
7.0213 0.1410 -0.0306
-1.6932 6.8152 -0.0414
-1.4674 -1.9107 6.6011
Rb Cr F
3 1 6
direct
0.0000 0.0000 0.5000
0.5000 0.0000 0.0000
0.0000 0.5000 0.0000
0.0000 0.0000 0.0000
0.9454 0.2046 0.2049
0.0546 0.7954 0.7951
0.2045 0.9450 0.2047
0.7955 0.0550 0.7953
0.2054 0.2053 0.9452
0.7946 0.7947 0.0548
```